(1)
DFT (PBE-GGA) results for an optimized crystal structure of Nd2ErScTe4.

abc: 4.304 7.492 7.748
angles: 108.64 90.00 90.00
Fractional coordinates of all 8 atoms:
Te (0.500, 0.763, 0.773)
Sc (0.000, 0.000, 0.000)
Te (0.000, 0.251, 0.769)
Er (0.500, 0.500, 0.000)
Te (0.000, 0.749, 0.231)
Nd (0.500, 0.000, 0.500)
Te (0.500, 0.237, 0.227)
Nd (0.000, 0.500, 0.500)

Summary:
theoretical density: 7.1 Mg/m³
energy relative to the elements, uncorrected: -10.303 eV/f.u.
N(E_F): 0.589 states/eV per atom

(2)
DFT (PBE-GGA) results for an optimized crystal structure of HoCdPd3.

abc: 5.428 6.588 6.588
angles: 120.00 90.00 90.00
Fractional coordinates of all 10 atoms:
Pd (0.250, 0.799, 0.599)
Ho (0.750, 0.666, 0.334)
Pd (0.750, 0.201, 0.799)
Pd (0.750, 0.201, 0.401)
Cd (0.500, 0.000, 0.000)
Cd (0.000, 0.000, 0.000)
Pd (0.750, 0.599, 0.799)
Pd (0.250, 0.799, 0.201)
Ho (0.250, 0.334, 0.666)
Pd (0.250, 0.401, 0.201)

Summary:
theoretical density: 9.7 Mg/m³
N(E_F): 0.356 states/eV per atom
formation energy: -0.42 eV per atom

(3)
DFT (PBE-GGA) results for an optimized crystal structure of BaMnPt3.

abc: 5.314 5.314 5.314
angles: 90.00 90.00 90.00
Fractional coordinates of all 5 atoms:
Mn (0.500, 0.500, 0.500)
Pt (0.000, 0.500, 0.000)
Pt (0.500, 0.000, 0.000)
Pt (0.000, 0.000, 0.500)
Ba (0.000, 0.000, 0.000)

Summary:
ΔE to the lowest computed polymorph: 2.253 eV/atom
theoretical density: 8.6 Mg/m³
N(E_F): 3.079 states/eV per atom
formation energy: 2.36 eV per atom

| no. | magnetic moment (μB per cell) |
| --- | --- |
| 1 | 0.00 |
| 2 | 0.00 |
| 3 | 0.94 |